[1]
Material: AlPbCl2O
Method: DFT, PBE
State: optimized geometry

Summary:
The formation energy (no corrections) is -0.467 eV/atom. The calculation puts the density of states at the Fermi level at 0.4 states/eV/cell.

a = 5.699 Å, b = 4.206 Å, c = 5.699 Å
α = 90.00°, β = 90.00°, γ = 90.00°
Sites, in units of the cell vectors:
1 Cl 0.500 0.000 0.000
2 Cl 0.000 0.000 0.500
3 Al 0.500 0.500 0.500
4 O 0.000 0.500 0.000
5 Pb 0.000 0.000 0.000

---

[2]
Material: BaNaTl2Pb2
Method: DFT, PBE
State: optimized geometry

Summary:
For the formation energy, the calculation gives -1.61 eV/f.u. The calculation puts the density of states at the Fermi level at 1.7 states/eV/cell.

a = 5.426 Å, b = 5.426 Å, c = 7.753 Å
α = 90.00°, β = 90.00°, γ = 120.00°
Sites, in units of the cell vectors:
1 Tl 0.667 0.333 0.233
2 Tl 0.333 0.667 0.767
3 Pb 0.333 0.667 0.335
4 Pb 0.667 0.333 0.665
5 Ba 0.000 0.000 0.000
6 Na 0.000 0.000 0.500

---

Per-record total energy, Ry/atom: -0.2710 -0.2082